Entry from Alexandria: LiCO2 after structural relaxation (PBE).

```
LiCO2
1.0
-2.121 2.121 3.965
2.121 -2.121 3.965
2.121 2.121 -3.965
Li C O
2 2 4
direct
0.000 0.000 0.000
0.750 0.250 0.500
0.250 0.750 0.500
0.500 0.500 0.000
0.204 0.625 0.079
0.375 0.454 0.579
0.546 0.125 0.921
0.875 0.796 0.421
```

D(E_F) (states/eV per cell): 1.58
Formation energy (no corrections) (meV/atom): -298